Entry 1:
# NaTl2TeS4

NaTl2TeS4 after structural relaxation (PBE, the Alexandria database).

It has space group Imma (No. 74), with a = 8.1467 Å, b = 8.3404 Å, c = 11.7013 Å, α = 90.00°, β = 90.00° and γ = 90.00°. The inequivalent atoms are Na at (0.0000, 0.0000, 0.0000), Tl at (0.0000, 0.0000, 0.5000), Tl at (0.2500, 0.2500, 0.2500), Te at (0.2500, 0.2500, 0.7500), S at (0.0000, 0.0312, 0.7561) and S at (0.2475, 0.2500, 0.9793).

The theoretical density is 5.74 Mg/m³. For the total DFT energy (no corrections), the calculation gives -3.52 eV per atom. The calculation puts the density of states at the Fermi level at 0.384 states/eV per atom. As for the calculated volume: 795.06 Å³/cell.



Entry 2:
# Na2TlTeS

Na2TlTeS after structural relaxation (PBE, the Alexandria database).

It has space group P4/mmm (No. 123), with a = 5.2070 Å, b = 5.2070 Å, c = 5.3987 Å, α = 90.00°, β = 90.00° and γ = 90.00°. The inequivalent atoms are Na at (0.0000, 0.5000, 0.0000), Tl at (0.0000, 0.0000, 0.5000), Te at (0.5000, 0.5000, 0.5000) and S at (0.0000, 0.0000, 0.0000).

The theoretical density is 4.65 Mg/m³. For the total DFT energy (no corrections), the calculation gives -3.05 eV per atom. The calculation puts the density of states at the Fermi level at 0.506 states/eV per atom. As for the calculated volume: 146.37 Å³/cell.



Entry 3:
# Na2TlTeS4

Na2TlTeS4 after structural relaxation (PBE, the Alexandria database).

It has space group Imma (No. 74), with a = 8.0741 Å, b = 8.1021 Å, c = 11.5941 Å, α = 90.00°, β = 90.00° and γ = 90.00°. The inequivalent atoms are Na at (0.0000, 0.0000, 0.0000), Na at (0.2500, 0.2500, 0.2500), Tl at (0.2500, 0.2500, 0.7500), Te at (0.0000, 0.0000, 0.5000), S at (0.0000, 0.0003, 0.2687) and S at (0.2281, 0.2500, 0.4943).

The theoretical density is 4.43 Mg/m³. For the total DFT energy (no corrections), the calculation gives -3.52 eV per atom. The calculation puts the density of states at the Fermi level at 0.349 states/eV per atom. As for the calculated volume: 758.45 Å³/cell.